1.
DFT (PBEsol) results for a relaxed TeCl crystal.

Cell: 7.130 7.130 10.681 Å, 125.23 125.23 32.73°
Element x y z (fractional)
Te 0.070 0.070 0.342
Te 0.297 0.297 0.695
Te 0.703 0.703 0.305
Te 0.930 0.930 0.658
Cl 0.100 0.100 0.934
Cl 0.351 0.351 0.319
Cl 0.649 0.649 0.681
Cl 0.900 0.900 0.066

Its space group is No. 12.

---

2.
DFT (PBEsol) results for a relaxed TeCl crystal.

Cell: 3.208 4.247 7.345 Å, 90.00 102.33 90.00°
Element x y z (fractional)
Te 0.068 0.250 0.141
Te 0.932 0.750 0.859
Cl 0.331 0.250 0.660
Cl 0.669 0.750 0.340

Its space group is No. 11.

---

3.
DFT (PBEsol) results for a relaxed TeCl2 crystal.

Cell: 6.287 9.314 3.711 Å, 90.00 90.00 90.00°
Element x y z (fractional)
Te 0.000 0.000 0.000
Te 0.500 0.500 0.500
Cl 0.149 0.171 0.500
Cl 0.351 0.671 0.000
Cl 0.649 0.329 0.000
Cl 0.851 0.829 0.500

Its space group is No. 58.

---

4.
DFT (PBEsol) results for a relaxed TeCl crystal.

Cell: 8.580 8.580 8.580 Å, 27.39 27.39 27.39°
Element x y z (fractional)
Te 0.203 0.203 0.203
Te 0.797 0.797 0.797
Cl 0.394 0.394 0.394
Cl 0.606 0.606 0.606

Its space group is No. 166.

---

Listing formation energy from raw total energies for the structures above in their given order: -33; -17; -27; -30 kJ/mol of atoms.
Listing total magnetization for the structures above in their given order: 0.000; 0.000; 0.000; 0.000 Bohr magnetons per cell.
Listing final energy for the structures above in their given order: -24.9; -11.8; -16.7; -12.3 eV for the cell shown.